A geometry-optimized CaSn6Rh structure. Source: Alexandria, functional PBE.

The space group is Amm2 (No. 38) and the conventional cell measures 4.3563, 8.8118 and 10.7172 Å, with angles of 90.00, 90.00 and 90.00 degrees. The asymmetric unit holds Ca at (0.0000, 0.0000, 0.0000), Sn at (0.0000, 0.2391, 0.2588), Sn at (0.5000, 0.0000, 0.2350), Sn at (0.5000, 0.0000, 0.7776), Sn at (0.5000, 0.1776, 0.5056) and Rh at (0.0000, 0.0000, 0.6192).

The calculation puts the total moment at 0.00 μB/atom. The value obtained for the density is 6.9 g/cm3. The value obtained for the volume is 411.40 Å³/cell. The calculation puts the total energy at -70.70 eV for the cell shown. Its formation energy is -0.247 eV per atom. The density of states at the Fermi level is 0.3679 states/eV per atom.



A geometry-optimized Ca2SnRh structure. Source: Alexandria, functional PBE.

The space group is P4/mmm (No. 123) and the conventional cell measures 3.4820, 3.4820 and 7.9208 Å, with angles of 90.00, 90.00 and 90.00 degrees. The asymmetric unit holds Ca at (0.0000, 0.0000, 0.2124), Sn at (0.5000, 0.5000, 0.5000) and Rh at (0.5000, 0.5000, 0.0000).

The calculation puts the total moment at 0.00 μB/atom. The value obtained for the density is 5.2 g/cm3. The value obtained for the volume is 96.03 Å³/cell. The calculation puts the total energy at -17.20 eV for the cell shown. Its formation energy is -0.462 eV per atom. The density of states at the Fermi level is 0.2234 states/eV per atom.



A geometry-optimized CaSn4Rh structure. Source: Alexandria, functional PBE.

The space group is C2/m (No. 12) and the conventional cell measures 16.5523, 4.5177 and 8.2174 Å, with angles of 90.00, 103.20 and 90.00 degrees. The asymmetric unit holds Ca at (0.1748, 0.0000, 0.2534), Sn at (0.0355, 0.0000, 0.8412), Sn at (0.0713, 0.5000, 0.3973), Sn at (0.1690, 0.5000, 0.9471), Sn at (0.1709, 0.0000, 0.6615), Rh at (0.0000, 0.0000, 0.5000) and Rh at (0.0000, 0.5000, 0.0000).

The calculation puts the total moment at 0.00 μB/atom. The value obtained for the density is 6.9 g/cm3. The value obtained for the volume is 598.24 Å³/cell. The calculation puts the total energy at -110.46 eV for the cell shown. Its formation energy is -0.375 eV per atom. The density of states at the Fermi level is 0.3234 states/eV per atom.



A geometry-optimized Ca3Sn5Rh6 structure. Source: Alexandria, functional PBE.

The space group is Pmmn (No. 59, origin choice 2) and the conventional cell measures 4.3725, 13.7150 and 9.7371 Å, with angles of 90.00, 90.00 and 90.00 degrees. The asymmetric unit holds Ca at (0.2500, 0.0756, 0.2455), Ca at (0.2500, 0.7500, 0.2792), Sn at (0.2500, 0.0860, 0.6440), Sn at (0.2500, 0.6346, 0.9958), Sn at (0.2500, 0.7500, 0.6599), Rh at (0.2500, 0.0460, 0.9086), Rh at (0.2500, 0.2500, 0.4914), Rh at (0.2500, 0.2500, 0.9634) and Rh at (0.2500, 0.5844, 0.5093).

The calculation puts the total moment at 0.00 μB/atom. The value obtained for the density is 7.6 g/cm3. The value obtained for the volume is 583.93 Å³/cell. The calculation puts the total energy at -157.36 eV for the cell shown. Its formation energy is -0.611 eV per atom. The density of states at the Fermi level is 0.4184 states/eV per atom.



A geometry-optimized CaSn2Rh structure. Source: Alexandria, functional PBE.

The space group is P4/mmm (No. 123) and the conventional cell measures 3.4219, 3.4219 and 7.5464 Å, with angles of 90.00, 90.00 and 90.00 degrees. The asymmetric unit holds Ca at (0.0000, 0.0000, 0.0000), Sn at (0.5000, 0.5000, 0.3001) and Rh at (0.0000, 0.0000, 0.5000).

The calculation puts the total moment at 0.00 μB/atom. The value obtained for the density is 7.1 g/cm3. The value obtained for the volume is 88.37 Å³/cell. The calculation puts the total energy at -19.33 eV for the cell shown. Its formation energy is -0.493 eV per atom. The density of states at the Fermi level is 0.5125 states/eV per atom.



A geometry-optimized Ca3Sn2Rh structure. Source: Alexandria, functional PBE.

The space group is Pnma (No. 62) and the conventional cell measures 12.3290, 4.6900 and 11.6960 Å, with angles of 90.00, 90.00 and 90.00 degrees. The asymmetric unit holds Ca at (0.0577, 0.2500, 0.1138), Ca at (0.1100, 0.7500, 0.5568), Ca at (0.2187, 0.2500, 0.8027), Sn at (0.0267, 0.7500, 0.2954), Sn at (0.2092, 0.7500, 0.0018) and Rh at (0.1149, 0.2500, 0.3627).

The calculation puts the total moment at 0.00 μB/atom. The value obtained for the density is 4.5 g/cm3. The value obtained for the volume is 676.29 Å³/cell. The calculation puts the total energy at -100.23 eV for the cell shown. Its formation energy is -0.616 eV per atom. The density of states at the Fermi level is 0.4626 states/eV per atom.



A geometry-optimized CaSn6Rh6 structure. Source: Alexandria, functional PBE.

The space group is Immm (No. 71) and the conventional cell measures 5.6908, 8.7321 and 9.8467 Å, with angles of 90.00, 90.00 and 90.00 degrees. The asymmetric unit holds Ca at (0.0000, 0.0000, 0.0000), Sn at (0.0000, 0.0000, 0.3351), Sn at (0.0000, 0.3370, 0.0000), Sn at (0.0000, 0.5000, 0.3314), Rh at (0.0000, 0.2499, 0.5000) and Rh at (0.2500, 0.2500, 0.2500).

The calculation puts the total moment at 0.00 μB/atom. The value obtained for the density is 9.3 g/cm3. The value obtained for the volume is 489.31 Å³/cell. The calculation puts the total energy at -154.42 eV for the cell shown. Its formation energy is -0.545 eV per atom. The density of states at the Fermi level is 0.2755 states/eV per atom.



A geometry-optimized Ca3Sn3Rh structure. Source: Alexandria, functional PBE.

The space group is C2/m (No. 12) and the conventional cell measures 11.3028, 4.6312 and 15.3186 Å, with angles of 90.00, 109.05 and 90.00 degrees. The asymmetric unit holds Ca at (0.0222, 0.0000, 0.3847), Ca at (0.0979, 0.0000, 0.9184), Ca at (0.2406, 0.0000, 0.2378), Sn at (0.0332, 0.5000, 0.2402), Sn at (0.1172, 0.5000, 0.0773), Sn at (0.1537, 0.5000, 0.5390) and Rh at (0.2417, 0.5000, 0.3913).

The calculation puts the total moment at 0.00 μB/atom. The value obtained for the density is 5.1 g/cm3. The value obtained for the volume is 757.92 Å³/cell. The calculation puts the total energy at -120.38 eV for the cell shown. Its formation energy is -0.676 eV per atom. The density of states at the Fermi level is 0.4853 states/eV per atom.



A geometry-optimized CaSn2Rh structure. Source: Alexandria, functional PBE.

The space group is I-42d (No. 122) and the conventional cell measures 4.9043, 4.9043 and 18.3453 Å, with angles of 90.00, 90.00 and 90.00 degrees. The asymmetric unit holds Ca at (0.0000, 0.0000, 0.0000), Sn at (0.1448, 0.2500, 0.6250) and Rh at (0.0000, 0.0000, 0.5000).

The calculation puts the total moment at 0.00 μB/atom. The value obtained for the density is 5.7 g/cm3. The value obtained for the volume is 441.24 Å³/cell. The calculation puts the total energy at -72.15 eV for the cell shown. Its formation energy is -0.170 eV per atom. The density of states at the Fermi level is 0.6170 states/eV per atom.



A geometry-optimized Ca3Sn6Rh5 structure. Source: Alexandria, functional PBE.

The space group is Pmmn (No. 59, origin choice 2) and the conventional cell measures 4.4167, 13.6128 and 9.8244 Å, with angles of 90.00, 90.00 and 90.00 degrees. The asymmetric unit holds Ca at (0.2500, 0.0490, 0.2492), Ca at (0.2500, 0.7500, 0.2765), Sn at (0.2500, 0.0668, 0.5883), Sn at (0.2500, 0.2500, 0.0316), Sn at (0.2500, 0.2500, 0.3914), Sn at (0.2500, 0.5914, 0.9815), Rh at (0.2500, 0.0929, 0.8646), Rh at (0.2500, 0.6375, 0.5462) and Rh at (0.2500, 0.7500, 0.8002).

The calculation puts the total moment at 0.00 μB/atom. The value obtained for the density is 7.6 g/cm3. The value obtained for the volume is 590.68 Å³/cell. The calculation puts the total energy at -150.52 eV for the cell shown. Its formation energy is -0.606 eV per atom. The density of states at the Fermi level is 0.5902 states/eV per atom.



A geometry-optimized CaSn2Rh3 structure. Source: Alexandria, functional PBE.

The space group is P6mm (No. 183) and the conventional cell measures 5.8415, 5.8415 and 4.1548 Å, with angles of 90.00, 90.00 and 120.00 degrees. The asymmetric unit holds Ca at (0.0000, 0.0000, 0.0000), Sn at (0.3333, 0.6667, 0.6966) and Rh at (0.0000, 0.5000, 0.1991).

The calculation puts the total moment at 0.00 μB/atom. The value obtained for the density is 7.9 g/cm3. The value obtained for the volume is 122.78 Å³/cell. The calculation puts the total energy at -35.52 eV for the cell shown. Its formation energy is -0.577 eV per atom. The density of states at the Fermi level is 0.5876 states/eV per atom.



A geometry-optimized Ca3Sn2Rh2 structure. Source: Alexandria, functional PBE.

The space group is Pbcm (No. 57) and the conventional cell measures 5.9457, 8.1193 and 14.1791 Å, with angles of 90.00, 90.00 and 90.00 degrees. The asymmetric unit holds Ca at (0.1209, 0.2477, 0.2500), Ca at (0.3464, 0.6033, 0.5935), Sn at (0.1360, 0.2500, 0.0000), Sn at (0.3718, 0.5942, 0.2500) and Rh at (0.1360, 0.5361, 0.0918).

The calculation puts the total moment at 0.00 μB/atom. The value obtained for the density is 5.5 g/cm3. The value obtained for the volume is 684.49 Å³/cell. The calculation puts the total energy at -134.66 eV for the cell shown. Its formation energy is -0.707 eV per atom. The density of states at the Fermi level is 0.4515 states/eV per atom.



A geometry-optimized CaSn3Rh2 structure. Source: Alexandria, functional PBE.

The space group is P-3m1 (No. 164) and the conventional cell measures 6.6357, 6.6357 and 6.8674 Å, with angles of 90.00, 90.00 and 120.00 degrees. The asymmetric unit holds Ca at (0.3333, 0.6667, 0.3273), Sn at (0.1681, 0.3363, 0.7207), Rh at (0.0000, 0.0000, 0.0000) and Rh at (0.0000, 0.5000, 0.0000).

The calculation puts the total moment at 0.00 μB/atom. The value obtained for the density is 7.6 g/cm3. The value obtained for the volume is 261.87 Å³/cell. The calculation puts the total energy at -61.72 eV for the cell shown. Its formation energy is -0.358 eV per atom. The density of states at the Fermi level is 0.6751 states/eV per atom.



A geometry-optimized Ca2Sn4Rh structure. Source: Alexandria, functional PBE.

The space group is I4/mmm (No. 139) and the conventional cell measures 5.0676, 5.0676 and 16.5020 Å, with angles of 90.00, 90.00 and 90.00 degrees. The asymmetric unit holds Ca at (0.0000, 0.0000, 0.1464), Sn at (0.0000, 0.0000, 0.3372), Sn at (0.0000, 0.5000, 0.0000) and Rh at (0.0000, 0.0000, 0.5000).

The calculation puts the total moment at 0.00 μB/atom. The value obtained for the density is 5.2 g/cm3. The value obtained for the volume is 423.78 Å³/cell. The calculation puts the total energy at -57.72 eV for the cell shown. Its formation energy is -0.213 eV per atom. The density of states at the Fermi level is 0.9487 states/eV per atom.



A geometry-optimized Ca3Sn13Rh4 structure. Source: Alexandria, functional PBE.

The space group is Pm-3n (No. 223) and the conventional cell measures 9.8172, 9.8172 and 9.8172 Å, with angles of 90.00, 90.00 and 90.00 degrees. The asymmetric unit holds Ca at (0.0000, 0.2500, 0.5000), Sn at (0.0000, 0.0000, 0.0000), Sn at (0.0000, 0.3048, 0.1535) and Rh at (0.2500, 0.2500, 0.2500).

The calculation puts the total moment at 0.00 μB/atom. The value obtained for the density is 7.3 g/cm3. The value obtained for the volume is 946.17 Å³/cell. The calculation puts the total energy at -195.11 eV for the cell shown. Its formation energy is -0.505 eV per atom. The density of states at the Fermi level is 0.4507 states/eV per atom.



A geometry-optimized Ca2SnRh structure. Source: Alexandria, functional PBE.

The space group is I-42d (No. 122) and the conventional cell measures 10.2039, 10.2039 and 5.1133 Å, with angles of 90.00, 90.00 and 90.00 degrees. The asymmetric unit holds Ca at (0.0923, 0.7500, 0.1250), Sn at (0.0000, 0.0000, 0.5000) and Rh at (0.0000, 0.0000, 0.0000).

The calculation puts the total moment at 0.00 μB/atom. The value obtained for the density is 3.8 g/cm3. The value obtained for the volume is 532.39 Å³/cell. The calculation puts the total energy at -67.12 eV for the cell shown. Its formation energy is -0.355 eV per atom. The density of states at the Fermi level is 0.5260 states/eV per atom.



A geometry-optimized CaSn2Rh structure. Source: Alexandria, functional PBE.

The space group is Pnma (No. 62) and the conventional cell measures 8.3296, 7.4723 and 5.8644 Å, with angles of 90.00, 90.00 and 90.00 degrees. The asymmetric unit holds Ca at (0.0341, 0.2500, 0.1107), Sn at (0.1819, 0.0489, 0.6230) and Rh at (0.0928, 0.7500, 0.3768).

The calculation puts the total moment at 0.00 μB/atom. The value obtained for the density is 6.9 g/cm3. The value obtained for the volume is 365.01 Å³/cell. The calculation puts the total energy at -78.85 eV for the cell shown. Its formation energy is -0.588 eV per atom. The density of states at the Fermi level is 0.5348 states/eV per atom.



A geometry-optimized Ca4Sn5Rh3 structure. Source: Alexandria, functional PBE.

The space group is C2/m (No. 12) and the conventional cell measures 16.4883, 4.8955 and 7.4219 Å, with angles of 90.00, 108.57 and 90.00 degrees. The asymmetric unit holds Ca at (0.1027, 0.0000, 0.4388), Ca at (0.1742, 0.0000, 0.9462), Sn at (0.0000, 0.0000, 0.0000), Sn at (0.0668, 0.5000, 0.6958), Sn at (0.1840, 0.5000, 0.2603), Rh at (0.0000, 0.5000, 0.0000) and Rh at (0.2248, 0.5000, 0.6410).

The calculation puts the total moment at 0.00 μB/atom. The value obtained for the density is 6.2 g/cm3. The value obtained for the volume is 567.90 Å³/cell. The calculation puts the total energy at -112.82 eV for the cell shown. Its formation energy is -0.528 eV per atom. The density of states at the Fermi level is 0.5267 states/eV per atom.